(1)
A relaxed structure of Al2CdSb, computed with PBE.

POSCAR file:
```
Al2CdSb
1.0
6.335 -0.095 0.052
3.586 5.223 -0.052
-4.343 -3.760 2.674
Sb Al Cd
1 2 1
Direct
0.217 0.717 0.500 Sb
0.990 0.990 0.000 Al
0.782 0.282 0.500 Al
0.512 0.512 0.000 Cd
```

## Properties
- ΔE_f (raw) (eV per atom) = 0.19
- final energy (eV/atom) = -2.943
- excess energy over the best structure of this formula in the dataset (eV per atom) = 0.078
- crystal system = orthorhombic
- spin magnetization (Bohr magnetons per cell) = 0.00
- symmetry = Imm2, No. 44
- theoretical density (g/cm³) = 5.40
- calculated volume (Å³/f.u.) = 88.6


(2)
A relaxed structure of AlCdSb, computed with PBE.

POSCAR file:
```
AlCdSb
1.0
-2.664 3.219 -0.465
-2.888 -2.874 -3.351
-2.724 -3.331 5.204
Sb Al Cd
2 2 2
Direct
0.427 0.250 0.215 Sb
0.573 0.750 0.785 Sb
0.823 0.250 0.926 Al
0.177 0.750 0.074 Al
0.160 0.250 0.599 Cd
0.840 0.750 0.401 Cd
```

## Properties
- ΔE_f (raw) (eV per atom) = 0.07
- final energy (eV/atom) = -2.861
- excess energy over the best structure of this formula in the dataset (eV per atom) = 0.000
- crystal system = monoclinic
- spin magnetization (Bohr magnetons per cell) = 0.00
- symmetry = P2_1/m, No. 11
- theoretical density (g/cm³) = 5.92
- calculated volume (Å³/f.u.) = 73.3


(3)
A relaxed structure of AlCdSb2Te, computed with PBE.

POSCAR file:
```
AlCdSb2Te
1.0
-4.354 -0.990 3.203
0.877 -5.404 -0.478
3.399 0.139 4.665
Sb Te Al Cd
2 1 1 1
Direct
0.000 0.500 0.000 Sb
0.500 0.000 0.000 Sb
0.000 0.000 0.500 Te
0.500 0.500 0.500 Al
0.000 0.000 0.000 Cd
```

## Properties
- ΔE_f (raw) (eV per atom) = 0.77
- final energy (eV/atom) = -2.442
- excess energy over the best structure of this formula in the dataset (eV per atom) = 0.331
- crystal system = tetragonal
- spin magnetization (Bohr magnetons per cell) = 0.00
- symmetry = P4/mmm, No. 123
- theoretical density (g/cm³) = 4.86
- calculated volume (Å³/f.u.) = 174.3


What is the final energy in the second record?
-2.861 eV/atom


theoretical density of number 1 (Al2CdSb)?
5.40 g/cm³